Record 1
First-principles (PBE) data for a relaxed structure of La2InSi4Pt3, as listed in Alexandria.

Output
formation energy without anion corrections: -0.9627 eV per atom

Geometry as extended XYZ:
```
10
Lattice="4.3176 0.0000 0.0000 0.0000 4.3176 0.0000 0.0000 0.0000 10.3190" Properties=species:S:1:pos:R:3 pbc="T T T"
La 0.0000 2.1588 2.4619
La 2.1588 0.0000 7.8571
In 0.0000 0.0000 5.1595
Si 0.0000 0.0000 0.0000
Si 0.0000 2.1588 6.7135
Si 2.1588 0.0000 3.6055
Si 2.1588 2.1588 0.0000
Pt 0.0000 2.1588 9.1408
Pt 2.1588 0.0000 1.1782
Pt 2.1588 2.1588 5.1595
```

=====

Record 2
First-principles (PBE) data for a relaxed structure of NdDyPuSc, as listed in Alexandria.

Output
E_tot: -7.303 eV/atom

Geometry as extended XYZ:
```
4
Lattice="0.0000 3.9007 3.9007 3.9007 0.0000 3.9007 3.9007 3.9007 0.0000" Properties=species:S:1:pos:R:3 pbc="T T T"
Nd 0.0000 0.0000 0.0000
Dy 1.9504 1.9504 1.9504
Pu 3.9007 3.9007 3.9007
Sc 5.8511 5.8511 5.8511
```

=====

Which formula does entry 2 have? NdDyPuSc